Tl2OsW: relaxed, PBEsol.

Unit cell a=3.010 b=5.164 c=9.457 alpha=90.00 beta=90.00 gamma=90.00
Atoms (fractional coordinates):
Tl 0.000 0.000 0.243
Tl 0.000 0.000 0.757
Tl 0.500 0.500 0.243
Tl 0.500 0.500 0.757
Os 0.000 0.500 0.000
Os 0.500 0.000 0.000
W 0.000 0.500 0.500
W 0.500 0.000 0.500

Results
ρ = 17.7 g cm⁻³
DFT total energy = -53.49 eV/cell
ΔE_f = 1135.1 meV per atom
Space-group type = Cmmm, No. 65
DOS at the Fermi energy = 7.24 states/eV/cell